Li2YRuO6 | PBE | optimized geometry

Uncorrected formation energy   -1.741 eV per atom

Geometry as POSCAR:
```
Li2YRuO6
1.0
5.320 0.000 -0.033
0.000 5.481 0.000
0.001 0.000 7.801
O Ru Li Y
12 2 4 2
direct
0.132 0.194 0.075
0.868 0.806 0.925
0.619 0.074 0.272
0.812 0.854 0.556
0.881 0.574 0.228
0.368 0.694 0.425
0.312 0.646 0.056
0.119 0.426 0.772
0.688 0.354 0.944
0.632 0.306 0.575
0.188 0.146 0.444
0.381 0.926 0.728
0.000 0.500 0.000
0.500 0.000 0.500
0.981 0.973 0.259
0.019 0.027 0.741
0.519 0.473 0.241
0.481 0.527 0.759
0.000 0.500 0.500
0.500 0.000 0.000
```